(1)
# CeInCu10

Crystalline CeInCu10 at its relaxed geometry (PBE-GGA, Alexandria).

## Properties
Electronic total energy = -4.17 eV/atom
E_form = -0.03 eV per atom
Symmetry = Pmmm (47)
V = 14.9 Å³ per atom
Total moment = 0.77 μB per cell

Unit cell a=4.128 b=4.993 c=8.674 alpha=90.00 beta=90.00 gamma=90.00
Atoms (fractional coordinates):
Ce (0.000, 0.000, 0.000)
In (0.000, 0.500, 0.500)
Cu (0.000, 0.000, 0.343)
Cu (0.000, 0.000, 0.657)
Cu (0.000, 0.500, 0.181)
Cu (0.000, 0.500, 0.819)
Cu (0.500, 0.000, 0.500)
Cu (0.500, 0.248, 0.250)
Cu (0.500, 0.248, 0.750)
Cu (0.500, 0.500, 0.000)
Cu (0.500, 0.752, 0.250)
Cu (0.500, 0.752, 0.750)

=====

(2)
# Dy2ZnPt5

Crystalline Dy2ZnPt5 at its relaxed geometry (PBE-GGA, Alexandria).

## Properties
Electronic total energy = -6.07 eV/atom
E_form = -0.98 eV per atom
Symmetry = I4mm (107)
V = 17.5 Å³ per atom
Total moment = 0.00 μB per cell

Unit cell a=5.789 b=5.789 c=5.789 alpha=118.49 beta=118.49 gamma=92.63
Atoms (fractional coordinates):
Dy (0.000, 0.500, 0.500)
Dy (0.500, 0.000, 0.500)
Zn (0.499, 0.499, 0.000)
Pt (0.000, 0.000, 0.000)
Pt (0.000, 0.000, 0.500)
Pt (0.000, 0.500, 0.000)
Pt (0.500, 0.000, 0.000)
Pt (0.500, 0.500, 0.500)

=====

(3)
# ZnTeCl2

Crystalline ZnTeCl2 at its relaxed geometry (PBE-GGA, Alexandria).

## Properties
Electronic total energy = -2.51 eV/atom
Symmetry = Imm2 (44)
V = 34.2 Å³ per atom
Total moment = 0.00 μB per cell

Unit cell a=7.883 b=7.883 c=7.883 alpha=154.34 beta=139.72 gamma=48.37
Atoms (fractional coordinates):
Zn (0.000, 0.000, 0.000)
Te (0.853, 0.353, 0.500)
Cl (0.109, 0.609, 0.500)
Cl (0.378, 0.378, 0.000)